(1)
Here is a relaxed structure of FeNi5Rh from Alexandria via LeMat-Bulk. Energies are from PBE.

* DOS at the Fermi energy: 18.9 states/eV/cell
* E above lowest polymorph: 0.066 eV per atom
* crystal system: monoclinic
* calculated formation energy: 0.22 eV per atom

abc: 4.949 4.949 10.294
angles: 58.13 58.13 62.41
Each line ends with the local moment (μB).
Sites, in units of the cell vectors:
1 Fe 0.000 0.000 0.000  3.11
2 Ni 0.429 0.117 0.731  0.70
3 Rh 0.636 0.364 0.250  0.70
4 Ni 0.449 0.262 0.003  0.76
5 Ni 0.551 0.738 0.997  0.76
6 Ni 0.883 0.571 0.769  0.70
7 Ni 0.888 0.112 0.750  0.69
8 Ni 0.571 0.883 0.269  0.70
9 Fe 0.000 0.000 0.500  3.11
10 Ni 0.112 0.888 0.250  0.69
11 Ni 0.117 0.429 0.231  0.70
12 Ni 0.738 0.551 0.497  0.76
13 Ni 0.262 0.449 0.503  0.76
14 Rh 0.364 0.636 0.750  0.70


(2)
Here is a relaxed structure of Nd3Cu3Ni8 from Alexandria via LeMat-Bulk. Energies are from PBE.

* DOS at the Fermi energy: 9.1 states/eV/cell
* crystal system: orthorhombic
* calculated formation energy: -0.20 eV per atom

abc: 4.041 7.834 7.834
angles: 69.85 75.05 75.05
Sites, in units of the cell vectors:
1 Ni 0.193 0.129 0.485
2 Nd 0.500 0.500 0.500
3 Ni 0.390 0.882 0.339
4 Nd 0.806 0.194 0.194
5 Cu 0.000 0.783 0.217
6 Ni 0.193 0.485 0.129
7 Ni 0.390 0.339 0.882
8 Ni 0.807 0.515 0.871
9 Nd 0.194 0.806 0.806
10 Cu 0.000 0.217 0.783
11 Ni 0.610 0.118 0.661
12 Ni 0.610 0.661 0.118
13 Cu 0.500 0.000 0.000
14 Ni 0.807 0.871 0.515


(3)
Here is a relaxed structure of CsPaI6 from Alexandria via LeMat-Bulk. Energies are from PBE.

* E above lowest polymorph: 0.021 eV per atom
* crystal system: trigonal
* formation energy (no corrections): -849 kJ/mol of formula units

abc: 8.381 8.381 9.032
angles: 62.36 62.36 60.00
Sites, in units of the cell vectors:
1 Cs 0.500 0.500 0.500
2 I 0.909 0.406 0.775
3 Pa 0.000 0.000 0.000
4 I 0.091 0.594 0.225
5 I 0.594 0.091 0.225
6 I 0.909 0.909 0.775
7 I 0.406 0.909 0.775
8 I 0.091 0.091 0.225


(4)
Here is a relaxed structure of YIrSe2 from Alexandria via LeMat-Bulk. Energies are from PBE.

* DOS at the Fermi energy: 0.0 states/eV/cell
* E above lowest polymorph: 0.552 eV per atom
* crystal system: trigonal
* formation energy (no corrections): -144 kJ/mol of formula units

abc: 8.466 8.466 8.466
angles: 25.91 25.91 25.91
Sites, in units of the cell vectors:
1 Ir 0.500 0.500 0.500
2 Se 0.116 0.116 0.116
3 Se 0.884 0.884 0.884
4 Y 0.000 0.000 0.000


(5)
Here is a relaxed structure of PmSeCl from Alexandria via LeMat-Bulk. Energies are from PBE.

* DOS at the Fermi energy: 0.1 states/eV/cell
* E above lowest polymorph: 0.320 eV per atom
* crystal system: trigonal
* formation energy (no corrections): -507 kJ/mol of formula units

abc: 4.043 4.657 4.657
angles: 120.00 90.00 90.00
Sites, in units of the cell vectors:
1 Pm 0.165 0.000 0.000
2 Se 0.667 0.667 0.333
3 Cl 0.168 0.333 0.667


(6)
Here is a relaxed structure of BiPbSe3 from Alexandria via LeMat-Bulk. Energies are from PBE.

* DOS at the Fermi energy: 4.0 states/eV/cell
* E above lowest polymorph: 0.351 eV per atom
* crystal system: cubic
* formation energy (no corrections): 66 kJ/mol of formula units

abc: 5.490 5.490 5.490
angles: 90.00 90.00 90.00
Sites, in units of the cell vectors:
1 Pb 0.500 0.500 0.500
2 Bi 0.000 0.000 0.000
3 Se 0.500 0.000 0.000
4 Se 0.000 0.000 0.500
5 Se 0.000 0.500 0.000


(7)
Here is a relaxed structure of Ba2AuIBr from Alexandria via LeMat-Bulk. Energies are from PBE.

* DOS at the Fermi energy: 2.6 states/eV/cell
* E above lowest polymorph: 0.482 eV per atom
* crystal system: tetragonal
* formation energy (no corrections): -404 kJ/mol of formula units

abc: 6.289 5.823 6.289
angles: 90.00 90.00 90.00
Each line ends with the local moment (μB).
Sites, in units of the cell vectors:
1 I 0.000 0.500 0.000  0.01
2 Ba 0.000 0.000 0.500  0.05
3 Br 0.500 0.500 0.500  0.01
4 Ba 0.500 0.000 0.000  0.07
5 Au 0.000 0.000 0.000  0.02


(8)
Here is a relaxed structure of SiAuN2O from Alexandria via LeMat-Bulk. Energies are from PBE.

* DOS at the Fermi energy: 2.7 states/eV/cell
* crystal system: tetragonal
* formation energy (no corrections): 867 kJ/mol of formula units

abc: 4.011 4.011 4.316
angles: 90.00 90.00 90.00
Each line ends with the local moment (μB).
Sites, in units of the cell vectors:
1 Au 0.000 0.000 0.000  0.23
2 O 0.000 0.000 0.500  0.13
3 N 0.000 0.500 0.000  0.74
4 N 0.500 0.000 0.000  0.74
5 Si 0.500 0.500 0.500  -0.02